1.
VASP calculation (PBE) on a relaxed structure of ReIrPd2.

```
4
Lattice="0.0000 3.1109 3.1109 3.1109 0.0000 3.1109 3.1109 3.1109 0.0000" Properties=species:S:1:pos:R:3 pbc="T T T"
Pd 1.5555 1.5555 1.5555
Pd 4.6664 4.6664 4.6664
Ir 3.1109 3.1109 3.1109
Re 0.0000 0.0000 0.0000
```

Output
**Crystal system**: cubic
**Calculated total energy**: -0.548 Ry/atom


2.
VASP calculation (PBE) on a relaxed structure of ReIrPd2.

```
8
Lattice="7.1183 0.0000 0.0000 0.0000 7.1183 0.0000 3.5591 3.5591 2.6035" Properties=species:S:1:pos:R:3 pbc="T T T"
Ir 0.0000 0.0000 0.0000
Ir 7.1183 3.5591 1.3017
Pd 5.3387 5.4356 1.9526
Pd 1.8764 5.3387 0.6509
Pd 5.2418 1.7796 0.6509
Pd 8.8978 8.8010 1.9526
Re 3.5591 3.5591 0.0000
Re 3.5591 7.1183 1.3017
```

Output
**Crystal system**: tetragonal
**Calculated total energy**: -0.523 Ry/atom


no.,energy relative to the elements (eV/atom),V (Å³/f.u.),energy above the most stable polymorph in this dataset (eV per formula unit)
1,0.467,60.2,0.00
2,0.810,66.0,1.37